Entry 1:
Entry from Alexandria via LeMat-Bulk: a geometry-optimized LiSmSc structure (PBE).

Cell: 5.2260 5.2260 19.1612 Å, 145.38 145.38 57.57°
Last column: nearest neighbours and their distance in Å.
Atoms (fractional coordinates):
Sm 0.4915 0.4915 0.2490  2 Sm 3.28-3.32, 6 Li 3.33-3.60, 6 Sc 3.36-3.50
Sm 0.5085 0.5085 0.7510  2 Sm 3.28-3.32, 6 Li 3.33-3.60, 6 Sc 3.36-3.50
Sc 0.3382 0.3382 0.0017  3 Sc 2.96-3.02, 1 Li 3.29
Sc 0.6618 0.6618 0.9983  3 Sc 2.96-3.02, 1 Li 3.29
Li 0.3402 0.3402 0.5040  3 Li 2.93-3.07, 1 Sc 3.29
Li 0.6598 0.6598 0.4960  3 Li 2.93-3.07, 1 Sc 3.29

## Properties
VASP energy   -0.1543 Ha/atom
Energy of formation   0.1227 eV/atom
Total moment   0.000 μB/atom
Calculated density   4419 kg/m³
Distance to the lowest polymorph of the same formula   19 kJ/mol of formula units

---

Entry 2:
Entry from Alexandria via LeMat-Bulk: a geometry-optimized Cs3CuPb structure (PBE).

Cell: 6.7438 6.7438 6.7438 Å, 90.00 90.00 90.00°
Last column: nearest neighbours and their distance in Å.
Atoms (fractional coordinates):
Cs 0.0000 0.0000 0.5000  2 Cu 3.37
Cs 0.0000 0.5000 0.0000  2 Cu 3.37
Cs 0.5000 0.0000 0.0000  2 Cu 3.37
Pb 0.5000 0.5000 0.5000  12 Cs 4.77
Cu 0.0000 0.0000 0.0000  6 Cs 3.37

## Properties
VASP energy   -0.0654 Ha/atom
Energy of formation   0.2945 eV/atom
Total moment   0.400 μB/atom
Calculated density   3625 kg/m³
Distance to the lowest polymorph of the same formula   0 kJ/mol of formula units

---

Entry 3:
Entry from Alexandria via LeMat-Bulk: a geometry-optimized RbTeAu2Se4 structure (PBE).

Cell: 6.6240 7.1727 7.1727 Å, 73.62 62.50 62.50°
Last column: nearest neighbours and their distance in Å.
Atoms (fractional coordinates):
Se 0.8866 0.5110 0.1468  1 Au 2.45, 1 Te 2.66
Se 0.5444 0.4890 0.8532  1 Au 2.45, 1 Te 2.66
Se 0.1134 0.8532 0.4890  1 Au 2.45, 1 Te 2.66
Se 0.4556 0.1468 0.5110  1 Au 2.45, 1 Te 2.66
Te 0.5000 0.5000 0.5000  4 Se 2.66
Au 0.1738 0.3262 0.3262  2 Se 2.45
Au 0.8262 0.6738 0.6738  2 Se 2.45
Rb 0.0000 0.0000 0.0000  8 Se 3.69-3.74

## Properties
VASP energy   -0.1209 Ha/atom
Total moment   0.000 μB/atom
Calculated density   5737 kg/m³
Energy relative to the elements, uncorrected   -214 meV/atom

---

Entry 4:
Entry from Alexandria via LeMat-Bulk: a geometry-optimized Cu2TeCl structure (PBE).

Cell: 4.6222 4.6222 4.6222 Å, 113.20 113.20 102.24°
Last column: nearest neighbours and their distance in Å.
Atoms (fractional coordinates):
Cu 0.0000 0.0000 0.0000  2 Cu 2.90, 4 Cl 2.93, 4 Te 2.93
Cu 0.5000 0.5000 0.0000  2 Cu 2.90, 4 Te 2.93, 4 Cl 2.93
Cl 0.7500 0.2500 0.5000  2 Te 2.90, 8 Cu 2.93
Te 0.2500 0.7500 0.5000  2 Cl 2.90, 8 Cu 2.93

## Properties
VASP energy   -0.1101 Ha/atom
Total moment   0.000 μB/atom
Calculated density   6413 kg/m³
Energy relative to the elements, uncorrected   300 meV/atom
Distance to the lowest polymorph of the same formula   203 kJ/mol of formula units

---

Please write out number 1 again, unchanged.
Entry from Alexandria via LeMat-Bulk: a geometry-optimized LiSmSc structure (PBE).

Cell: 5.2260 5.2260 19.1612 Å, 145.38 145.38 57.57°
Last column: nearest neighbours and their distance in Å.
Atoms (fractional coordinates):
Sm 0.4915 0.4915 0.2490  2 Sm 3.28-3.32, 6 Li 3.33-3.60, 6 Sc 3.36-3.50
Sm 0.5085 0.5085 0.7510  2 Sm 3.28-3.32, 6 Li 3.33-3.60, 6 Sc 3.36-3.50
Sc 0.3382 0.3382 0.0017  3 Sc 2.96-3.02, 1 Li 3.29
Sc 0.6618 0.6618 0.9983  3 Sc 2.96-3.02, 1 Li 3.29
Li 0.3402 0.3402 0.5040  3 Li 2.93-3.07, 1 Sc 3.29
Li 0.6598 0.6598 0.4960  3 Li 2.93-3.07, 1 Sc 3.29

## Properties
VASP energy   -0.1543 Ha/atom
Energy of formation   0.1227 eV/atom
Total moment   0.000 μB/atom
Calculated density   4419 kg/m³
Distance to the lowest polymorph of the same formula   19 kJ/mol of formula units

---

Please write out number 3 again, unchanged.
Entry from Alexandria via LeMat-Bulk: a geometry-optimized RbTeAu2Se4 structure (PBE).

Cell: 6.6240 7.1727 7.1727 Å, 73.62 62.50 62.50°
Last column: nearest neighbours and their distance in Å.
Atoms (fractional coordinates):
Se 0.8866 0.5110 0.1468  1 Au 2.45, 1 Te 2.66
Se 0.5444 0.4890 0.8532  1 Au 2.45, 1 Te 2.66
Se 0.1134 0.8532 0.4890  1 Au 2.45, 1 Te 2.66
Se 0.4556 0.1468 0.5110  1 Au 2.45, 1 Te 2.66
Te 0.5000 0.5000 0.5000  4 Se 2.66
Au 0.1738 0.3262 0.3262  2 Se 2.45
Au 0.8262 0.6738 0.6738  2 Se 2.45
Rb 0.0000 0.0000 0.0000  8 Se 3.69-3.74

## Properties
VASP energy   -0.1209 Ha/atom
Total moment   0.000 μB/atom
Calculated density   5737 kg/m³
Energy relative to the elements, uncorrected   -214 meV/atom

---

Question: Which value of VASP energy does entry 1 give?
Answer: -0.1543 Ha/atom